No. 1
First-principles (PBE-GGA) data for crystalline Dy4TlZn3 at its relaxed geometry, as listed in Alexandria.

Energy above the most stable polymorph in this dataset (kJ per mole of atoms): 0.0
DFT formation energy (eV per formula unit): -2.67
Spin magnetization (μB per atom): 0.00

abc: 5.1190 5.1190 8.9488
angles: 73.38 73.38 60.00
Positions (direct):
Dy  0.3799  0.3799  0.8603
Dy  0.6201  0.6201  0.1397
Dy  0.1295  0.1295  0.6114
Dy  0.8705  0.8705  0.3886
Zn  0.5000  0.5000  0.5000
Zn  0.2479  0.2479  0.2562
Zn  0.7521  0.7521  0.7438
Tl  0.0000  0.0000  0.0000

***

No. 2
First-principles (PBE-GGA) data for crystalline LaCuHg at its relaxed geometry, as listed in Alexandria.

DFT formation energy (eV per formula unit): -0.94
Spin magnetization (μB per atom): 0.00

abc: 4.3216 5.3830 6.6627
angles: 99.98 108.92 90.00
Positions (direct):
La  0.1223  0.3055  0.2446
La  0.8777  0.6945  0.7554
Cu  0.2265  0.8576  0.4531
Cu  0.7735  0.1424  0.5469
Hg  0.5828  0.7832  0.1656
Hg  0.4172  0.2168  0.8344

***

No. 3
First-principles (PBE-GGA) data for crystalline VPS2N at its relaxed geometry, as listed in Alexandria.

Energy above the most stable polymorph in this dataset (kJ per mole of atoms): 0.0
Spin magnetization (μB per atom): 0.08
ΔE_f (raw) (eV/atom): 0.40

abc: 4.7066 4.7066 3.5808
angles: 90.00 90.00 90.00
Positions (direct):
S  0.5000  0.0000  0.0000
S  0.0000  0.5000  0.0000
N  0.0000  0.0000  0.5000
V  0.0000  0.0000  0.0000
P  0.5000  0.5000  0.5000

***

No. 4
First-principles (PBE-GGA) data for crystalline ScMn6Al6 at its relaxed geometry, as listed in Alexandria.

DFT formation energy (eV per formula unit): -3.23
Spin magnetization (μB per atom): 0.01

abc: 4.8964 6.4854 6.4854
angles: 82.41 67.82 67.82
Positions (direct):
Mn  0.5000  0.5000  0.0000
Mn  0.5000  0.0000  0.5000
Mn  0.0000  0.5000  0.0000
Mn  0.0000  0.0000  0.5000
Mn  0.5000  0.2400  0.7600
Mn  0.5000  0.7600  0.2400
Al  0.6867  0.8133  0.8133
Al  0.0000  0.3382  0.6618
Al  0.3438  0.6562  0.6562
Al  0.3133  0.1867  0.1867
Al  0.6562  0.3438  0.3438
Al  0.0000  0.6618  0.3382
Sc  0.0000  0.0000  0.0000

***

No. 5
First-principles (PBE-GGA) data for crystalline Li4Ga3Rh2 at its relaxed geometry, as listed in Alexandria.

DFT formation energy (eV per formula unit): -4.37
Spin magnetization (μB per atom): 0.00

abc: 4.0891 5.1286 6.9105
angles: 81.45 72.79 66.51
Positions (direct):
Rh  0.6572  0.9067  0.7789
Rh  0.3428  0.0933  0.2211
Ga  0.6768  0.2054  0.4410
Ga  0.0000  0.0000  0.0000
Ga  0.3232  0.7946  0.5590
Li  0.3340  0.4503  0.8817
Li  0.0013  0.6579  0.3396
Li  0.6660  0.5497  0.1183
Li  0.9987  0.3421  0.6604

***

No. 6
First-principles (PBE-GGA) data for crystalline TmUGe at its relaxed geometry, as listed in Alexandria.

DFT formation energy (eV per formula unit): -0.39
Spin magnetization (μB per atom): 0.35

abc: 5.0388 3.1879 9.0931
angles: 100.10 106.09 90.00
Positions (direct):
Tm  0.3263  0.8263  0.6525
Tm  0.6737  0.1737  0.3475
U  0.7500  0.5000  0.0000
U  0.2500  0.5000  0.0000
Ge  0.8438  0.3438  0.6876
Ge  0.1562  0.6562  0.3124